Arrangement 1

First-principles (SCAN) data for a crystal of YSc2Br relaxed with PBEsol, as listed in Alexandria via LeMat-Bulk.

Output
**Magnetization**: 0.000 μB/f.u.
**Space group**: Pmmm
**Mass density**: 4.411 g/cm³

Cell: 3.336 5.259 5.552 Å, 90.00 90.00 90.00°
Sites, in units of the cell vectors:
Y 0.000 0.000 0.000
Sc 0.000 0.500 0.500
Sc 0.500 0.000 0.500
Br 0.500 0.500 0.000

=====

Arrangement 2

First-principles (SCAN) data for a crystal of YSc2Br relaxed with PBEsol, as listed in Alexandria via LeMat-Bulk.

Output
**Magnetization**: 1.357 μB/f.u.
**Space group**: Cmmm
**Mass density**: 4.391 g/cm³

Cell: 5.684 5.684 3.394 Å, 90.00 90.00 116.80°
Sites, in units of the cell vectors:
Y 0.000 0.000 0.000
Sc 0.000 0.500 0.500
Sc 0.500 0.000 0.500
Br 0.500 0.500 0.000

=====

Stability check: which of them is most stable? arrangement 1.

=====

Arrangement 1

First-principles (SCAN) data for a crystal of YScBr2 relaxed with PBEsol, as listed in Alexandria via LeMat-Bulk.

Output
**Magnetization**: 0.000 μB/f.u.
**Space group**: Immm
**Mass density**: 5.041 g/cm³

Cell: 5.782 5.782 5.782 Å, 145.51 115.70 75.05°
Sites, in units of the cell vectors:
Y 0.000 0.000 0.000
Sc 0.500 0.500 0.000
Br 0.260 0.760 0.500
Br 0.740 0.240 0.500

=====

Arrangement 2

First-principles (SCAN) data for a crystal of YScBr2 relaxed with PBEsol, as listed in Alexandria via LeMat-Bulk.

Output
**Magnetization**: 3.993 μB/f.u.
**Space group**: F-43m
**Mass density**: 4.668 g/cm³

Cell: 5.286 5.286 5.286 Å, 60.00 60.00 60.00°
Sites, in units of the cell vectors:
Y 0.000 0.000 0.000
Sc 0.250 0.250 0.250
Br 0.500 0.500 0.500
Br 0.750 0.750 0.750

=====

Stability check: which of them is most stable? arrangement 1.

=====

Arrangement 1

First-principles (SCAN) data for a crystal of YScBr2 relaxed with PBEsol, as listed in Alexandria via LeMat-Bulk.

Output
**Magnetization**: 0.000 μB/f.u.
**Space group**: P4mm
**Mass density**: 4.773 g/cm³

Cell: 3.586 3.586 7.945 Å, 90.00 90.00 90.00°
Sites, in units of the cell vectors:
Y 0.000 0.000 0.000
Sc 0.500 0.500 0.277
Br 0.000 0.000 0.425
Br 0.500 0.500 0.790

=====

Arrangement 2

First-principles (SCAN) data for a crystal of YScBr2 relaxed with PBEsol, as listed in Alexandria via LeMat-Bulk.

Output
**Magnetization**: 0.000 μB/f.u.
**Space group**: P4/mmm
**Mass density**: 5.920 g/cm³

Cell: 4.875 4.875 3.466 Å, 90.00 90.00 90.00°
Sites, in units of the cell vectors:
Y 0.000 0.000 0.000
Sc 0.500 0.500 0.000
Br 0.000 0.500 0.500
Br 0.500 0.000 0.500

=====

Stability check: which of them is most stable? arrangement 1.

=====

Arrangement 1

First-principles (SCAN) data for a crystal of SiSeBr2 relaxed with PBEsol, as listed in Alexandria via LeMat-Bulk.

Output
**Magnetization**: 0.000 μB/f.u.
**Space group**: P2/m
**Mass density**: 4.126 g/cm³

Cell: 4.938 3.332 6.968 Å, 90.00 110.48 90.00°
Sites, in units of the cell vectors:
Si 0.000 0.000 0.000
Se 0.500 0.000 0.000
Br 0.139 0.500 0.281
Br 0.861 0.500 0.719

=====

Arrangement 2

First-principles (SCAN) data for a crystal of SiSeBr2 relaxed with PBEsol, as listed in Alexandria via LeMat-Bulk.

Output
**Magnetization**: 0.000 μB/f.u.
**Space group**: R-3m
**Mass density**: 5.038 g/cm³

Cell: 11.000 11.000 11.000 Å, 15.98 15.98 15.98°
Sites, in units of the cell vectors:
Si 0.000 0.000 0.000
Se 0.500 0.500 0.500
Br 0.072 0.072 0.072
Br 0.928 0.928 0.928

=====

Arrangement 3

First-principles (SCAN) data for a crystal of SiSeBr2 relaxed with PBEsol, as listed in Alexandria via LeMat-Bulk.

Output
**Magnetization**: 0.000 μB/f.u.
**Space group**: Fmmm
**Mass density**: 4.566 g/cm³

Cell: 5.560 5.395 4.740 Å, 66.18 62.58 51.24°
Sites, in units of the cell vectors:
Si 0.000 0.000 0.000
Se 0.500 0.500 0.500
Br 0.000 0.500 0.500
Br 0.500 0.000 0.000

=====

Stability check: which of them is most stable? arrangement 1.